(1)
# PrZrNi

PrZrNi after structural relaxation (PBE, OQMD).

Results
Its total magnetization is 0.055 μB/cell. The calculation puts the density at 6.9 g/cm3. Its energy of formation from the pure elements is 0.17 eV per atom. The calculation puts the energy above the most stable polymorph in this dataset at 0 meV/atom. The space group is No. 216.

The structure in POSCAR format:
```
PrZrNi
1.0
0.000 3.276 3.276
3.276 0.000 3.276
3.276 3.276 0.000
Pr Zr Ni
1 1 1
Direct
0.000 0.000 0.000
0.500 0.500 0.500
0.250 0.250 0.250
```

(2)
# Ni3Pt

Ni3Pt after structural relaxation (PBE, OQMD).

Results
Its total magnetization is 4.783 μB/cell. The calculation puts the density at 12.7 g/cm3. Its energy of formation from the pure elements is -0.05 eV per atom. The space group is No. 59.

The structure in POSCAR format:
```
Ni3Pt
1.0
4.213 0.000 0.000
0.000 5.158 0.000
0.000 0.000 4.460
Ni Pt
6 2
Direct
0.250 0.001 0.163
0.250 0.250 0.676
0.250 0.499 0.163
0.750 0.501 0.837
0.750 0.750 0.324
0.750 0.999 0.837
0.250 0.750 0.665
0.750 0.250 0.335
```

(3)
# PuNiPt

PuNiPt after structural relaxation (PBE, OQMD).

Results
Its total magnetization is 4.013 μB/cell. The calculation puts the density at 13.8 g/cm3. Its energy of formation from the pure elements is 0.02 eV per atom. The space group is No. 216.

The structure in POSCAR format:
```
PuNiPt
1.0
0.000 3.108 3.108
3.108 0.000 3.108
3.108 3.108 0.000
Pu Ni Pt
1 1 1
Direct
0.000 0.000 0.000
0.750 0.750 0.750
0.250 0.250 0.250
```

(4)
# PuNiPt

PuNiPt after structural relaxation (PBE, OQMD).

Results
Its total magnetization is 4.761 μB/cell. The calculation puts the density at 14.8 g/cm3. Its energy of formation from the pure elements is -0.35 eV per atom. The space group is No. 216.

The structure in POSCAR format:
```
PuNiPt
1.0
0.000 3.032 3.032
3.032 0.000 3.032
3.032 3.032 0.000
Pu Ni Pt
1 1 1
Direct
0.000 0.000 0.000
0.250 0.250 0.250
0.500 0.500 0.500
```

(5)
# Rb2NiPt2S4

Rb2NiPt2S4 after structural relaxation (PBE, OQMD).

Results
Its total magnetization is 0.002 μB/cell. The calculation puts the density at 5.5 g/cm3. The value obtained for the total energy is -0.3486 Ry per atom. The space group is No. 69.

The structure in POSCAR format:
```
Rb2NiPt2S4
1.0
0.000 5.103 6.726
3.283 0.000 6.726
3.283 5.103 0.000
Rb Ni Pt S
2 1 2 4
Direct
0.156 0.156 0.844
0.844 0.844 0.156
0.500 0.500 0.500
0.000 0.000 0.500
0.500 0.500 0.000
0.227 0.555 0.445
0.445 0.773 0.227
0.555 0.227 0.773
0.773 0.445 0.555
```

(6)
# Rb2NiPt2Se4

Rb2NiPt2Se4 after structural relaxation (PBE, OQMD).

Results
Its total magnetization is 0.006 μB/cell. The calculation puts the density at 6.2 g/cm3. The value obtained for the total energy is -0.3238 Ry per atom. The space group is No. 69.

The structure in POSCAR format:
```
Rb2NiPt2Se4
1.0
0.000 5.356 6.868
3.393 0.000 6.868
3.393 5.356 0.000
Rb Ni Pt Se
2 1 2 4
Direct
0.145 0.145 0.855
0.855 0.855 0.145
0.500 0.500 0.500
0.000 0.000 0.500
0.500 0.500 0.000
0.222 0.549 0.451
0.451 0.778 0.222
0.549 0.222 0.778
0.778 0.451 0.549
```